## AcDyBr2 (PBE-GGA)

Data for crystalline AcDyBr2 at its relaxed geometry.

- uncorrected formation energy (eV/atom) = -1.006
- density of states at the Fermi level (states/eV per atom) = 0.944
- DFT total energy (eV/cell) = -48.2

Structure (CIF):
```
data_AcDyBr2
_chemical_formula_sum 'Ac3 Dy3 Br6'
_symmetry_space_group_name_H-M 'R -3 m'
_symmetry_Int_Tables_number 166
_symmetry_space_group_name_Hall '-R 3 2"'
_cell_length_a 3.7628
_cell_length_b 3.7628
_cell_length_c 31.6491
_cell_angle_alpha 90.00
_cell_angle_beta 90.00
_cell_angle_gamma 120.00
loop_
_atom_site_label
_atom_site_fract_x
_atom_site_fract_y
_atom_site_fract_z
Ac1 0.0000 0.0000 0.0000
Dy1 0.0000 0.0000 0.5000
Br1 0.0000 0.0000 0.1026
```